Entry from Alexandria: a relaxed structure of CaTl6Cd6 (PBE-GGA).

Lattice parameters (Å, degrees): 8.3279 8.3279 8.3279 138.13 101.95 92.77
Atoms (fractional coordinates):
1 Ca 0.0000 0.0000 0.0000
2 Tl 0.1789 0.5000 0.6789
3 Tl 0.3447 0.0000 0.3447
4 Tl 0.3565 0.3565 0.0000
5 Tl 0.6435 0.6435 0.0000
6 Tl 0.6553 0.0000 0.6553
7 Tl 0.8211 0.5000 0.3211
8 Cd 0.0000 0.0000 0.5000
9 Cd 0.0000 0.5000 0.0000
10 Cd 0.2266 0.7266 0.5000
11 Cd 0.5000 0.0000 0.0000
12 Cd 0.5000 0.5000 0.5000
13 Cd 0.7734 0.2734 0.5000

* energy of formation from the pure elements: -0.49 eV/f.u.
* energy: -1.71 eV per atom
* total magnetic moment: 0.000 μB per atom
* density: 9.0 g/cm³